Record 1
Material: Tl2SbIr
Method: DFT, PBE
State: relaxed

The value obtained for the uncorrected energy is -4.314 eV/atom. The total magnetization comes out at 0.000 μB/atom. The value obtained for the uncorrected formation energy is 0.115 eV per atom.

The space group is Pm (No. 6) and the conventional cell measures 3.2556, 3.7127 and 8.6196 Å, with angles of 90.00, 98.87 and 90.00 degrees. Symmetry generates all atoms from Tl at (0.0000, 0.0000, 0.0000), Tl at (0.3843, 0.5000, 0.6907), Sb at (0.7280, 0.0000, 0.3918) and Ir at (0.1733, 0.5000, 0.2613).

Record 2
Material: HgPSeF2
Method: DFT, PBE
State: relaxed

The value obtained for the uncorrected energy is -3.412 eV/atom. The total magnetization comes out at 0.000 μB/atom. The value obtained for the uncorrected formation energy is -0.824 eV per atom.

The space group is P4/mmm (No. 123) and the conventional cell measures 4.0603, 4.0603 and 5.3941 Å, with angles of 90.00, 90.00 and 90.00 degrees. Symmetry generates all atoms from Hg at (0.0000, 0.0000, 0.0000), P at (0.5000, 0.5000, 0.5000), Se at (0.5000, 0.5000, 0.0000) and F at (0.0000, 0.5000, 0.5000).

Record 3
Material: Cs2CoWI6
Method: DFT, PBE
State: relaxed

The value obtained for the uncorrected energy is -3.508 eV/atom. The total magnetization comes out at 0.500 μB/atom. The value obtained for the uncorrected formation energy is -0.402 eV per atom.

The space group is Fm-3m (No. 225) and the conventional cell measures 11.4516, 11.4516 and 11.4516 Å, with angles of 90.00, 90.00 and 90.00 degrees. Symmetry generates all atoms from Cs at (0.2500, 0.2500, 0.2500), Co at (0.0000, 0.0000, 0.0000), W at (0.0000, 0.0000, 0.5000) and I at (0.0000, 0.0000, 0.2518).

What did the third record say?
Material: Cs2CoWI6
Method: DFT, PBE
State: relaxed

The value obtained for the uncorrected energy is -3.508 eV/atom. The total magnetization comes out at 0.500 μB/atom. The value obtained for the uncorrected formation energy is -0.402 eV per atom.

The space group is Fm-3m (No. 225) and the conventional cell measures 11.4516, 11.4516 and 11.4516 Å, with angles of 90.00, 90.00 and 90.00 degrees. Symmetry generates all atoms from Cs at (0.2500, 0.2500, 0.2500), Co at (0.0000, 0.0000, 0.0000), W at (0.0000, 0.0000, 0.5000) and I at (0.0000, 0.0000, 0.2518).